# 1
Compound: YCuAgSe3
Source: OQMD
Functional: PBE-GGA
Structure: optimized geometry

a b c (Å): 3.9723 13.4821 10.4627
angles (deg): 90.00 90.00 90.00
With the nearest neighbours (Å) after each atom.
Space group Cmcm (No. 63)
Symmetry-distinct sites (fractional):
Y (0.0000, 0.0000, 0.0000) x4  6 Se 2.88-2.90
Cu (0.0000, 0.4841, 0.2500) x4  4 Se 2.47-2.54
Ag (0.0000, 0.1694, 0.7500) x4  4 Se 2.75, 2 Cu 2.87
Se (0.0000, 0.0932, 0.2500) x4  2 Cu 2.47
Se (0.0000, 0.3559, 0.0715) x8  1 Cu 2.54, 2 Ag 2.75

Computed properties:
Total energy ... -4.679 eV per atom


# 2
Compound: ThTaIr
Source: OQMD
Functional: PBE-GGA
Structure: optimized geometry

a b c (Å): 6.6697 6.6697 6.6697
angles (deg): 90.00 90.00 90.00
With the nearest neighbours (Å) after each atom.
Space group F-43m (No. 216)
Symmetry-distinct sites (fractional):
Th (0.0000, 0.0000, 0.0000) x4  4 Ir 2.89
Ta (0.0000, 0.0000, 0.5000) x4  4 Ir 2.89
Ir (0.2500, 0.2500, 0.7500) x4  4 Th 2.89, 4 Ta 2.89

Computed properties:
Formation energy from the elements ... 4.8 kJ/mol of atoms
Total energy ... -9.324 eV per atom


- Which of these has the highest total energy?
  YCuAgSe3


- Look up the total energy of the first one.
  -4.679 eV per atom


- Which value of total energy does entry 2 give?
  -9.324 eV per atom